DFT (PBE with a Hubbard U) results for VGaSbO6 after structural relaxation.

The structure in extended XYZ format:
```
18
Lattice="-1.7985 0.0433 4.7308 4.6141 -1.8576 -0.9363 3.4433 7.9294 1.2364" Properties=species:S:1:pos:R:3 pbc="T T T"
O 2.3288 -0.2120 2.6961
O 4.0408 3.7555 3.3228
O 4.4522 -0.8350 0.7779
O 1.8066 6.9501 4.2529
O 1.8802 4.4025 5.1907
O 4.3003 5.7233 5.1763
O 3.9300 6.3271 2.3348
O 2.2180 2.3596 1.7081
O 1.9585 0.3918 -0.1455
O 4.3787 1.7126 -0.1599
O 4.6879 1.1333 2.6941
O 1.5710 4.9818 2.3367
V 1.7216 3.9647 0.6182
V 0.0000 0.0000 0.0000
Sb 1.1998 1.3920 3.1509
Sb 5.0590 4.7231 1.8800
Ga 2.9215 5.3567 3.7690
Ga 3.3374 0.7584 1.2618
```

D(E_F) ... 6.07 states/eV/cell
Calculated volume ... 193.7 Å³ per cell
Symmetry ... No. 163
E ... -6.52 eV/atom

***

DFT (PBE with a Hubbard U) results for GaSbWO6 after structural relaxation.

The structure in extended XYZ format:
```
18
Lattice="-0.6709 0.0564 -5.1675 3.6406 -3.0662 2.1214 -6.5083 -7.1973 0.7664" Properties=species:S:1:pos:R:3 pbc="T T T"
O -2.8212 -5.7253 1.2332
O -3.2840 -8.1582 1.9785
O -0.2546 -2.0489 -4.2581
O 0.9689 -2.8994 -1.8556
O -2.2541 -6.5206 -1.4197
O -2.7540 -2.5866 -3.0100
O -4.5075 -7.3077 -0.4240
O -1.2845 -3.6865 -0.8599
O -1.1233 -0.9995 -1.7809
O -0.7174 -4.4818 -3.5128
O -2.4153 -9.2075 -0.4987
O -0.7846 -7.6205 0.7304
Sb 0.0000 0.0000 0.0000
Sb -3.2542 -3.5986 0.3832
W -0.8608 -2.7838 -2.5462
W -2.6778 -7.4233 0.2666
Ga 0.5763 -3.8247 -0.1166
Ga -4.1150 -6.3824 -2.1630
```

Calculated volume ... 228.9 Å³ per cell
Symmetry ... No. 163
E ... -6.58 eV/atom

***

Which of these has the highest E?
VGaSbO6

***

The highest E belongs to which entry?
VGaSbO6

***

Please write out number 1 again, unchanged.
DFT (PBE with a Hubbard U) results for VGaSbO6 after structural relaxation.

The structure in extended XYZ format:
```
18
Lattice="-1.7985 0.0433 4.7308 4.6141 -1.8576 -0.9363 3.4433 7.9294 1.2364" Properties=species:S:1:pos:R:3 pbc="T T T"
O 2.3288 -0.2120 2.6961
O 4.0408 3.7555 3.3228
O 4.4522 -0.8350 0.7779
O 1.8066 6.9501 4.2529
O 1.8802 4.4025 5.1907
O 4.3003 5.7233 5.1763
O 3.9300 6.3271 2.3348
O 2.2180 2.3596 1.7081
O 1.9585 0.3918 -0.1455
O 4.3787 1.7126 -0.1599
O 4.6879 1.1333 2.6941
O 1.5710 4.9818 2.3367
V 1.7216 3.9647 0.6182
V 0.0000 0.0000 0.0000
Sb 1.1998 1.3920 3.1509
Sb 5.0590 4.7231 1.8800
Ga 2.9215 5.3567 3.7690
Ga 3.3374 0.7584 1.2618
```

D(E_F) ... 6.07 states/eV/cell
Calculated volume ... 193.7 Å³ per cell
Symmetry ... No. 163
E ... -6.52 eV/atom